The following is a DFT calculation (PBE-GGA) of a relaxed structure of Nd3TeCN.

E_tot = -6.764 eV per atom
Space group = P2_1/m (11)
Formation energy from raw total energies = -0.9320 eV/atom
Total magnetic moment = 0.00 μB per formula unit

a b c (Å): 4.0204 7.6813 10.3197
angles (deg): 110.73 90.00 90.00
Atoms (fractional coordinates):
Nd (0.7500, 0.9225, 0.1734)
Nd (0.2500, 0.7944, 0.4405)
Te (0.7500, 0.7038, 0.6956)
Nd (0.7500, 0.4727, 0.1337)
C (0.2500, 0.6902, 0.1112)
Te (0.2500, 0.2962, 0.3044)
C (0.7500, 0.3098, 0.8888)
Nd (0.2500, 0.5273, 0.8663)
N (0.2500, 0.0957, 0.6162)
Nd (0.2500, 0.0775, 0.8266)
Nd (0.7500, 0.2056, 0.5595)
N (0.7500, 0.9043, 0.3838)

The following is a DFT calculation (PBE-GGA) of a relaxed structure of NdThCN.

E_tot = -8.243 eV per atom
Space group = R3m (160)
Formation energy from raw total energies = -0.8087 eV/atom
Total magnetic moment = 0.00 μB per formula unit

a b c (Å): 3.7456 3.7456 6.4364
angles (deg): 73.08 73.08 60.00
Atoms (fractional coordinates):
C (0.6906, 0.6906, 0.9282)
N (0.2012, 0.2012, 0.3965)
Nd (0.4426, 0.4426, 0.6722)
Th (0.9420, 0.9420, 0.1739)

The following is a DFT calculation (PBE-GGA) of a relaxed structure of NdUCN.

E_tot = -9.197 eV per atom
Space group = R3m (160)
Formation energy from raw total energies = -0.7953 eV/atom
Total magnetic moment = 0.00 μB per formula unit

a b c (Å): 3.5730 3.5730 6.1777
angles (deg): 73.19 73.19 60.00
Atoms (fractional coordinates):
C (0.2679, 0.2679, 0.1962)
N (0.7319, 0.7319, 0.8044)
U (0.0008, 0.0008, 0.9975)
Nd (0.4993, 0.4993, 0.5020)

The following is a DFT calculation (PBE-GGA) of a relaxed structure of Nd3ZnC2N6.

E_tot = -7.559 eV per atom
Space group = P-3m1 (164)
Formation energy from raw total energies = -0.5605 eV/atom
Total magnetic moment = 0.00 μB per formula unit

a b c (Å): 5.3410 5.3410 6.4764
angles (deg): 90.00 90.00 120.00
Atoms (fractional coordinates):
N (0.8150, 0.6299, 0.7209)
Nd (0.3333, 0.6667, 0.6634)
N (0.8150, 0.1850, 0.7209)
N (0.1850, 0.8150, 0.2791)
Nd (0.0000, 0.0000, 0.0000)
C (0.3333, 0.6667, 0.2738)
N (0.1850, 0.3701, 0.2791)
N (0.6299, 0.8150, 0.2791)
C (0.6667, 0.3333, 0.7262)
Nd (0.6667, 0.3333, 0.3366)
N (0.3701, 0.1850, 0.7209)
Zn (0.0000, 0.0000, 0.5000)

The following is a DFT calculation (PBE-GGA) of a relaxed structure of NiC4N6.

E_tot = -8.025 eV per atom
Space group = Pnnm (58)
Formation energy from raw total energies = 0.3959 eV/atom
Total magnetic moment = 2.01 μB per formula unit

a b c (Å): 6.3826 6.9522 7.2930
angles (deg): 90.00 90.00 90.00
Site moments in Bohr magnetons follow the coordinates.
Atoms (fractional coordinates):
N (0.1744, 0.8802, 0.7994)  0.07
N (0.2039, 0.2533, 0.0000)  0.05
N (0.2961, 0.7533, 0.5000)  0.05
N (0.3256, 0.3802, 0.2994)  0.07
N (0.8256, 0.1198, 0.7994)  0.07
N (0.6744, 0.6198, 0.2994)  0.07
C (0.7724, 0.1764, 0.6553)  0.00
C (0.2276, 0.8236, 0.6553)  0.00
C (0.2724, 0.3236, 0.1553)  0.00
Ni (0.5000, 0.5000, 0.5000)  1.57
N (0.1744, 0.8802, 0.2006)  0.07
N (0.7961, 0.7467, 0.0000)  0.05
Ni (0.0000, 0.0000, 0.0000)  1.57
C (0.7724, 0.1764, 0.3447)  0.00
N (0.3256, 0.3802, 0.7006)  0.07
C (0.7276, 0.6764, 0.1553)  0.00
C (0.7276, 0.6764, 0.8447)  0.00
N (0.7039, 0.2467, 0.5000)  0.05
N (0.8256, 0.1198, 0.2006)  0.07
C (0.2276, 0.8236, 0.3447)  0.00
C (0.2724, 0.3236, 0.8447)  0.00
N (0.6744, 0.6198, 0.7006)  0.07

The following is a DFT calculation (PBE-GGA) of a relaxed structure of Ni3CN.

E_tot = -6.039 eV per atom
Space group = Pm-3m (221)
Formation energy from raw total energies = 0.9399 eV/atom
Total magnetic moment = 0.00 μB per formula unit

a b c (Å): 3.6899 3.6899 3.6899
angles (deg): 90.00 90.00 90.00
Atoms (fractional coordinates):
N (0.5000, 0.5000, 0.5000)
C (0.0000, 0.0000, 0.0000)
Ni (0.0000, 0.5000, 0.0000)
Ni (0.0000, 0.0000, 0.5000)
Ni (0.5000, 0.0000, 0.0000)

The following is a DFT calculation (PBE-GGA) of a relaxed structure of NiC3N.

E_tot = -5.257 eV per atom
Space group = Pm-3m (221)
Formation energy from raw total energies = 3.0991 eV/atom
Total magnetic moment = 0.00 μB per formula unit

a b c (Å): 3.3716 3.3716 3.3716
angles (deg): 90.00 90.00 90.00
Atoms (fractional coordinates):
C (0.0000, 0.5000, 0.0000)
C (0.5000, 0.0000, 0.0000)
N (0.0000, 0.0000, 0.0000)
C (0.0000, 0.0000, 0.5000)
Ni (0.5000, 0.5000, 0.5000)

The following is a DFT calculation (PBE-GGA) of a relaxed structure of Ni2CN.

E_tot = -5.992 eV per atom
E above lowest polymorph = 614 meV/atom
Space group = Fm-3m (225)
Formation energy from raw total energies = 1.2856 eV/atom
Total magnetic moment = 0.00 μB per formula unit

a b c (Å): 3.5842 3.5842 3.5842
angles (deg): 60.00 60.00 60.00
Atoms (fractional coordinates):
C (0.0000, 0.0000, 0.0000)
Ni (0.7500, 0.7500, 0.7500)
Ni (0.2500, 0.2500, 0.2500)
N (0.5000, 0.5000, 0.5000)

The following is a DFT calculation (PBE-GGA) of a relaxed structure of Ni2CN.

E_tot = -6.607 eV per atom
E above lowest polymorph = 0 meV/atom
Space group = I-42d (122)
Formation energy from raw total energies = 0.6714 eV/atom
Total magnetic moment = 0.00 μB per formula unit

a b c (Å): 4.2864 4.2864 5.3438
angles (deg): 66.36 66.36 90.00
Atoms (fractional coordinates):
Ni (0.8750, 0.8758, 0.7500)
N (0.7500, 0.2500, 0.5000)
C (0.2500, 0.7500, 0.5000)
Ni (0.6258, 0.1250, 0.2500)
N (0.0000, 0.0000, 0.0000)
Ni (0.1242, 0.6250, 0.2500)
Ni (0.3750, 0.3742, 0.7500)
C (0.5000, 0.5000, 0.0000)

The following is a DFT calculation (PBE-GGA) of a relaxed structure of NiC2N2.

E_tot = -7.533 eV per atom
Space group = Pnma (62)
Formation energy from raw total energies = 0.6428 eV/atom
Total magnetic moment = 0.00 μB per formula unit

a b c (Å): 3.0005 6.2744 13.8555
angles (deg): 90.00 90.00 90.00
Atoms (fractional coordinates):
N (0.7500, 0.7582, 0.7708)
N (0.7500, 0.3143, 0.4644)
N (0.7500, 0.7418, 0.2708)
Ni (0.7500, 0.9709, 0.8641)
C (0.2500, 0.1284, 0.7905)
Ni (0.2500, 0.0291, 0.1359)
N (0.2500, 0.6857, 0.5356)
C (0.7500, 0.3288, 0.5495)
C (0.7500, 0.6284, 0.7095)
C (0.2500, 0.8288, 0.9505)
C (0.2500, 0.3716, 0.2905)
N (0.2500, 0.2418, 0.2292)
N (0.7500, 0.1857, 0.9644)
Ni (0.7500, 0.5291, 0.3641)
C (0.2500, 0.6712, 0.4505)
C (0.7500, 0.1712, 0.0495)
N (0.2500, 0.8143, 0.0356)
C (0.7500, 0.8716, 0.2095)
N (0.2500, 0.2582, 0.7292)
Ni (0.2500, 0.4709, 0.6359)

The following is a DFT calculation (PBE-GGA) of a relaxed structure of Ni2OsCN.

E_tot = -6.567 eV per atom
Space group = P4/mmm (123)
Formation energy from raw total energies = 1.5008 eV/atom
Total magnetic moment = 0.00 μB per formula unit

a b c (Å): 3.5993 4.0213 3.5993
angles (deg): 90.00 90.00 90.00
Atoms (fractional coordinates):
N (0.0000, 0.5000, 0.0000)
C (0.0000, 0.0000, 0.0000)
Ni (0.0000, 0.0000, 0.5000)
Ni (0.5000, 0.0000, 0.0000)
Os (0.5000, 0.5000, 0.5000)

The following is a DFT calculation (PBE-GGA) of a relaxed structure of Pm3NiC2N6.

E_tot = -7.921 eV per atom
Space group = P-3m1 (164)
Formation energy from raw total energies = -0.5512 eV/atom
Total magnetic moment = 1.02 μB per formula unit

a b c (Å): 5.3121 5.3121 6.2437
angles (deg): 90.00 90.00 120.00
Site moments in Bohr magnetons follow the coordinates.
Atoms (fractional coordinates):
Pm (0.3333, 0.6667, 0.6626)  -0.01
N (0.8154, 0.6307, 0.7276)  0.03
N (0.1846, 0.8154, 0.2724)  0.03
C (0.3333, 0.6667, 0.2608)  0.00
Pm (0.0000, 0.0000, 0.0000)  -0.02
N (0.3693, 0.1846, 0.7276)  0.03
N (0.6307, 0.8154, 0.2724)  0.03
C (0.6667, 0.3333, 0.7392)  0.00
Pm (0.6667, 0.3333, 0.3374)  -0.01
Ni (0.0000, 0.0000, 0.5000)  0.93
N (0.1846, 0.3693, 0.2724)  0.03
N (0.8154, 0.1846, 0.7276)  0.03

The following is a DFT calculation (PBE-GGA) of a relaxed structure of Pr3NiC2N6.

E_tot = -7.891 eV per atom
Space group = P-3m1 (164)
Formation energy from raw total energies = -0.5139 eV/atom
Total magnetic moment = 1.02 μB per formula unit

a b c (Å): 5.3653 5.3653 6.3625
angles (deg): 90.00 90.00 120.00
Site moments in Bohr magnetons follow the coordinates.
Atoms (fractional coordinates):
C (0.3333, 0.6667, 0.2627)  0.00
Pr (0.3333, 0.6667, 0.6623)  -0.01
N (0.8142, 0.6285, 0.7263)  0.03
N (0.1858, 0.3715, 0.2737)  0.03
Pr (0.6667, 0.3333, 0.3377)  -0.01
C (0.6667, 0.3333, 0.7373)  0.00
Pr (0.0000, 0.0000, 0.0000)  -0.02
N (0.8142, 0.1858, 0.7263)  0.03
N (0.6285, 0.8142, 0.2737)  0.03
N (0.1858, 0.8142, 0.2737)  0.03
N (0.3715, 0.1858, 0.7263)  0.03
Ni (0.0000, 0.0000, 0.5000)  0.93

The following is a DFT calculation (PBE-GGA) of a relaxed structure of Pr2NiC2N6.

E_tot = -7.897 eV per atom
Space group = R-3m (166)
Formation energy from raw total energies = -0.2838 eV/atom
Total magnetic moment = 0.00 μB per formula unit

a b c (Å): 5.1422 5.1422 5.9531
angles (deg): 64.41 64.41 60.00
Atoms (fractional coordinates):
Pr (0.7790, 0.7790, 0.6630)
Ni (0.0000, 0.0000, 0.0000)
N (0.2775, 0.7387, 0.2451)
Pr (0.2210, 0.2210, 0.3370)
N (0.7387, 0.2775, 0.2451)
N (0.7225, 0.2613, 0.7549)
C (0.5909, 0.5909, 0.2272)
C (0.4091, 0.4091, 0.7728)
N (0.2613, 0.7225, 0.7549)
N (0.7387, 0.7387, 0.2451)
N (0.2613, 0.2613, 0.7549)

The following is a DFT calculation (PBE-GGA) of a relaxed structure of NiPt2CN.

E_tot = -5.939 eV per atom
Space group = P4/mmm (123)
Formation energy from raw total energies = 1.1434 eV/atom
Total magnetic moment = 0.00 μB per formula unit

a b c (Å): 4.8597 2.5864 4.8597
angles (deg): 90.00 90.00 90.00
Atoms (fractional coordinates):
N (0.0000, 0.5000, 0.0000)
C (0.0000, 0.0000, 0.0000)
Pt (0.5000, 0.0000, 0.0000)
Ni (0.5000, 0.5000, 0.5000)
Pt (0.0000, 0.0000, 0.5000)

The following is a DFT calculation (PBE-GGA) of a relaxed structure of NiPtC6N6.

E_tot = -7.965 eV per atom
Space group = Fm-3m (225)
Formation energy from raw total energies = 0.4007 eV/atom
Total magnetic moment = 1.98 μB per formula unit

a b c (Å): 7.3822 7.3822 7.3822
angles (deg): 60.00 60.00 60.00
Site moments in Bohr magnetons follow the coordinates.
Atoms (fractional coordinates):
N (0.3050, 0.6950, 0.6950)  0.06
C (0.8064, 0.1936, 0.8064)  0.00
Ni (0.5000, 0.5000, 0.5000)  1.58
N (0.6950, 0.3050, 0.3050)  0.06
C (0.8064, 0.8064, 0.1936)  0.00
N (0.3050, 0.3050, 0.6950)  0.06
N (0.3050, 0.6950, 0.3050)  0.06
Pt (0.0000, 0.0000, 0.0000)  0.02
C (0.1936, 0.1936, 0.8064)  0.00
N (0.6950, 0.3050, 0.6950)  0.06
N (0.6950, 0.6950, 0.3050)  0.06
C (0.1936, 0.8064, 0.1936)  0.00
C (0.1936, 0.8064, 0.8064)  0.00
C (0.8064, 0.1936, 0.1936)  0.00

The following is a DFT calculation (PBE-GGA) of a relaxed structure of RbNi2CN.

E_tot = -4.741 eV per atom
Space group = P4/mmm (123)
Formation energy from raw total energies = 1.2753 eV/atom
Total magnetic moment = 0.34 μB per formula unit

a b c (Å): 3.6696 6.6099 3.6696
angles (deg): 90.00 90.00 90.00
Site moments in Bohr magnetons follow the coordinates.
Atoms (fractional coordinates):
C (0.0000, 0.0000, 0.0000)  0.01
Ni (0.0000, 0.0000, 0.5000)  0.06
N (0.5000, 0.5000, 0.5000)  0.13
Rb (0.0000, 0.5000, 0.0000)  -0.05
Ni (0.5000, 0.0000, 0.0000)  0.07

The following is a DFT calculation (PBE-GGA) of a relaxed structure of NiCSN2.

E_tot = -4.901 eV per atom
E above lowest polymorph = 547 meV/atom
Space group = P4/mmm (123)
Formation energy from raw total energies = 2.2557 eV/atom
Total magnetic moment = 0.40 μB per formula unit

a b c (Å): 3.3686 3.3686 7.7979
angles (deg): 90.00 90.00 90.00
Site moments in Bohr magnetons follow the coordinates.
Atoms (fractional coordinates):
N (0.0000, 0.5000, 0.0000)  0.00
S (0.0000, 0.0000, 0.5000)  -0.09
C (0.5000, 0.5000, 0.5000)  0.27
N (0.5000, 0.0000, 0.0000)  0.00
Ni (0.0000, 0.0000, 0.0000)  0.00

The following is a DFT calculation (PBE-GGA) of a relaxed structure of NiCSN2.

E_tot = -5.448 eV per atom
E above lowest polymorph = 0 meV/atom
Space group = P4/mmm (123)
Formation energy from raw total energies = 1.7089 eV/atom
Total magnetic moment = 0.49 μB per formula unit

a b c (Å): 3.0224 3.0224 7.5668
angles (deg): 90.00 90.00 90.00
Site moments in Bohr magnetons follow the coordinates.
Atoms (fractional coordinates):
N (0.0000, 0.5000, 0.0000)  0.00
C (0.0000, 0.0000, 0.0000)  0.00
S (0.0000, 0.0000, 0.5000)  0.10
Ni (0.5000, 0.5000, 0.5000)  0.33
N (0.5000, 0.0000, 0.0000)  0.00

The following is a DFT calculation (PBE-GGA) of a relaxed structure of NiCS2N.

E_tot = -4.383 eV per atom
E above lowest polymorph = 925 meV/atom
Space group = P4/mmm (123)
Formation energy from raw total energies = 1.9345 eV/atom
Total magnetic moment = 0.00 μB per formula unit

a b c (Å): 4.5965 4.5965 3.3551
angles (deg): 90.00 90.00 90.00
Atoms (fractional coordinates):
S (0.5000, 0.0000, 0.0000)
C (0.5000, 0.5000, 0.5000)
S (0.0000, 0.5000, 0.0000)
N (0.0000, 0.0000, 0.5000)
Ni (0.0000, 0.0000, 0.0000)